No. 1
Entry from the Alexandria database: an optimized crystal structure of FeHgTeI2 (PBEsol).

Cell: 5.3498 5.3498 5.0886 Å, 90.00 90.00 90.00°
Fractional positions:
Fe 0.0000 0.0000 0.0000
Hg 0.5000 0.5000 0.5000
Te 0.0000 0.0000 0.5000
I 0.0000 0.5000 0.0000
I 0.5000 0.0000 0.0000

Summary:
The energy above the most stable polymorph in this dataset is 0 kJ/mol of formula units. The formation energy from raw total energies is 0.266 eV per atom. As for the space group: P4/mmm (123).

No. 2
Entry from the Alexandria database: an optimized crystal structure of InFeHg2 (PBEsol).

Cell: 4.2276 4.2276 4.2470 Å, 90.00 90.00 90.00°
Fractional positions:
In 0.0000 0.0000 0.0000
Fe 0.5000 0.5000 0.0000
Hg 0.0000 0.5000 0.5000
Hg 0.5000 0.0000 0.5000

Summary:
The formation energy from the elements is 334 meV/atom. As for the space group: P4/mmm (123).

No. 3
Entry from the Alexandria database: an optimized crystal structure of InFeHg2 (PBEsol).

Cell: 2.9808 2.9808 8.6917 Å, 90.00 90.00 90.00°
Fractional positions:
In 0.0000 0.0000 0.0000
Fe 0.5000 0.5000 0.2090
Hg 0.0000 0.0000 0.4176
Hg 0.5000 0.5000 0.7061

Summary:
The formation energy from the elements is 263 meV/atom. As for the space group: P4mm (99).

no.,density (g/cm³)
1,7.27
2,12.51
3,12.30